1.
Here is LaCuPS2 after structural relaxation from Alexandria. Energies are from GGA-PBE.

SG: P4/mmm
Energy relative to the elements, uncorrected: 2.48 eV/f.u.
ΔE to the lowest computed polymorph: 1133 meV per atom

Unit cell a=5.4924 b=5.4924 c=5.8026 alpha=90.00 beta=90.00 gamma=90.00
Closest atoms and distances in Å follow each position.
Sites, in units of the cell vectors:
1 P 0.0000 0.0000 0.5000  2 La 2.90
2 S 0.0000 0.5000 0.0000  2 La 2.75
3 S 0.5000 0.0000 0.0000  2 La 2.75
4 Cu 0.5000 0.5000 0.5000  4 P 3.88, 8 S 3.99
5 La 0.0000 0.0000 0.0000  4 S 2.75, 2 P 2.90



2.
Here is LaZrCuP2 after structural relaxation from Alexandria. Energies are from GGA-PBE.

SG: P4/mmm
ΔH_f (0 K): 41.46 kJ/mol of atoms

Unit cell a=4.9331 b=5.8975 c=4.9331 alpha=90.00 beta=90.00 gamma=90.00
Closest atoms and distances in Å follow each position.
Sites, in units of the cell vectors:
1 P 0.0000 0.0000 0.5000  2 Zr 2.47
2 P 0.5000 0.0000 0.0000  2 Zr 2.47
3 Cu 0.5000 0.5000 0.5000  4 La 3.49, 8 P 3.84
4 Zr 0.0000 0.0000 0.0000  4 P 2.47
5 La 0.0000 0.5000 0.0000  2 Zr 2.95



no.,total energy (eV/cell),total magnetization (μB per formula unit)
1,-20.21,2.85
2,-26.24,0.00